Below is YMg2IrO at its PBEsol-relaxed geometry, with properties calculated at the meta-GGA SCAN level.

abc: 4.0658 4.0658 4.7476
angles: 90.00 90.00 90.00
Closest atoms and distances in Å follow each position.
Space group P4/mmm (No. 123)
Asymmetric unit:
Y: 0.0000 0.0000 0.0000  2 O 2.37
Mg: 0.0000 0.5000 0.5000  2 O 2.03
Ir: 0.5000 0.5000 0.0000  4 Y 2.87, 8 Mg 3.13
O: 0.0000 0.0000 0.5000  4 Mg 2.03

Values from the calculation:
E_tot (eV per atom): -24.482

Below is Tl2Cd at its PBEsol-relaxed geometry, with properties calculated at the meta-GGA SCAN level.

abc: 8.6455 8.6455 3.6438
angles: 90.00 90.00 120.00
Closest atoms and distances in Å follow each position.
Space group P-62m (No. 189)
Asymmetric unit:
Tl: 0.0000 0.3821 0.0000  5 Cd 3.25-3.30, 8 Tl 3.40-3.64
Tl: 0.0000 0.7144 0.5000  4 Cd 3.07-3.11, 2 Tl 3.40
Cd: 0.0000 0.0000 0.0000  9 Tl 3.07-3.30
Cd: 0.3333 0.6667 0.5000  9 Tl 3.11-3.25

Values from the calculation:
DFT formation energy (eV/atom): 0.0499
Relative energy among the computed polymorphs (eV/atom): 0.0148
E_tot (eV per atom): -58.327

Below is BeC at its PBEsol-relaxed geometry, with properties calculated at the meta-GGA SCAN level.

abc: 4.8852 4.8852 4.8852
angles: 90.00 90.00 90.00
Closest atoms and distances in Å follow each position.
Space group Fd-3m (No. 227, origin choice 2)
Asymmetric unit:
Be: 0.1250 0.1250 0.1250  4 C 2.12, 4 Be 2.12
C: 0.1250 0.1250 0.6250  4 Be 2.12, 4 C 2.12

Values from the calculation:
DFT formation energy (eV/atom): 2.1896
Relative energy among the computed polymorphs (eV/atom): 1.5000
E_tot (eV per atom): -5.037

Below is K3Na5V2Mo6O24 at its PBEsol-relaxed geometry, with properties calculated at the meta-GGA SCAN level.

abc: 7.6827 7.6911 7.6847
angles: 90.00 90.04 90.00
Closest atoms and distances in Å follow each position.
Space group Pm (No. 6)
Asymmetric unit:
K: 0.0000 0.0000 0.0000  12 O 2.69-2.78
K: 0.9998 0.0000 0.4895  12 O 2.69-2.79
K: 0.0000 0.5000 0.4904  12 O 2.69-2.79
Na: 0.5197 0.5000 0.0100  11 O 2.52-2.80
Na: 0.5208 0.0000 0.0106  11 O 2.51-2.81
Na: 0.5209 0.0000 0.4791  11 O 2.52-2.82
Na: 0.5210 0.5000 0.4790  11 O 2.54-2.81
Na: 0.9879 0.5000 0.0119  11 O 2.54-2.82
V: 0.7528 0.2506 0.2442  6 O 1.89-1.94
Mo: 0.2570 0.2507 0.2442  6 O 1.92-1.93
Mo: 0.2566 0.2507 0.7456  6 O 1.90-1.93
Mo: 0.7524 0.2506 0.7457  6 O 1.91-1.94
O: 0.0049 0.2517 0.7467  2 Mo 1.93-1.94
O: 0.0053 0.2525 0.2427  1 Mo 1.93, 1 V 1.94
O: 0.2573 0.5000 0.7461  2 Mo 1.92
O: 0.2579 0.0000 0.7456  2 Mo 1.93
O: 0.2579 0.2516 0.9945  2 Mo 1.91-1.92
O: 0.2589 0.2504 0.4953  2 Mo 1.92-1.93
O: 0.2591 0.5000 0.2434  2 Mo 1.92
O: 0.2599 0.0000 0.2443  2 Mo 1.93
O: 0.5040 0.2506 0.7459  2 Mo 1.90-1.91
O: 0.5063 0.2507 0.2443  1 V 1.89, 1 Mo 1.92
O: 0.7498 0.0000 0.2443  2 V 1.93
O: 0.7502 0.0000 0.7460  2 Mo 1.93
O: 0.7498 0.2506 0.4947  1 V 1.93, 1 Mo 1.93
O: 0.7514 0.5000 0.2429  2 V 1.92
O: 0.7515 0.5000 0.7469  2 Mo 1.92
O: 0.7515 0.2521 0.9959  1 V 1.91, 1 Mo 1.92

Values from the calculation:
E_tot (eV per atom): -13.254

Below is Mg5Cd3 at its PBEsol-relaxed geometry, with properties calculated at the meta-GGA SCAN level.

abc: 8.2055 9.1089 4.5049
angles: 90.00 90.00 90.00
Closest atoms and distances in Å follow each position.
Space group Cmmm (No. 65)
Asymmetric unit:
Mg: 0.0000 0.0000 0.0000  8 Mg 3.06-3.15, 4 Cd 3.09
Mg: 0.2309 0.5000 0.5000  6 Cd 2.94-3.09, 6 Mg 3.15-3.21
Mg: 0.2500 0.2500 0.0000  6 Cd 3.05-3.06, 6 Mg 3.06-3.21
Cd: 0.0000 0.2322 0.5000  10 Mg 3.05-3.09, 2 Cd 3.32
Cd: 0.0000 0.5000 0.0000  8 Mg 2.94-3.06

Values from the calculation:
DFT formation energy (eV/atom): -0.1397
Relative energy among the computed polymorphs (eV/atom): 0.0037
E_tot (eV per atom): -14.654

Below is Be2CdAu2 at its PBEsol-relaxed geometry, with properties calculated at the meta-GGA SCAN level.

abc: 6.9096 6.9096 2.9058
angles: 90.00 90.00 90.00
Closest atoms and distances in Å follow each position.
Space group P4/mbm (No. 127)
Asymmetric unit:
Be: 0.1263 0.3737 0.0000  6 Au 2.47-2.54, 1 Be 2.47, 2 Cd 2.73
Cd: 0.0000 0.0000 0.0000  4 Be 2.73, 2 Cd 2.91, 8 Au 2.98
Au: 0.1600 0.6600 0.5000  6 Be 2.47-2.54

Values from the calculation:
DFT formation energy (eV/atom): -0.2511
Relative energy among the computed polymorphs (eV/atom): 0.0250
E_tot (eV per atom): -35.738

Below is InBCSe2 at its PBEsol-relaxed geometry, with properties calculated at the meta-GGA SCAN level.

abc: 4.4561 4.4561 4.3531
angles: 90.00 90.00 90.00
Closest atoms and distances in Å follow each position.
Space group P4/mmm (No. 123)
Asymmetric unit:
In: 0.0000 0.0000 0.0000  2 C 2.18
B: 0.5000 0.5000 0.0000  8 Se 3.11, 4 In 3.15
C: 0.0000 0.0000 0.5000  2 In 2.18, 4 Se 2.23
Se: 0.0000 0.5000 0.5000  2 C 2.23

Values from the calculation:
E_tot (eV per atom): -16.538

Below is ZnCu at its PBEsol-relaxed geometry, with properties calculated at the meta-GGA SCAN level.

abc: 5.4151 5.4151 5.4151
angles: 90.00 90.00 90.00
Closest atoms and distances in Å follow each position.
Space group F-43m (No. 216)
Asymmetric unit:
Zn: 0.0000 0.0000 0.0000  4 Cu 2.34
Cu: 0.2500 0.2500 0.7500  4 Zn 2.34

Values from the calculation:
DFT formation energy (eV/atom): 0.7593
E_tot (eV per atom): -13.598